No. 1
CdGa2Sn: relaxed, GGA-PBE.

Geometry as POSCAR:
```
CdGa2Sn
1.0
-3.978 3.978 2.962
3.978 -3.978 2.962
3.978 3.978 -2.962
Cd Ga Sn
2 4 2
direct
0.000 0.000 0.000 Cd
0.750 0.250 0.500 Cd
0.128 0.125 0.503 Ga
0.375 0.872 0.997 Ga
0.622 0.625 0.497 Ga
0.875 0.378 0.003 Ga
0.250 0.750 0.500 Sn
0.500 0.500 0.000 Sn
```

**V**: 187.5 Å³/cell
**Crystal system**: tetragonal
**Polymorph energy (0 for the lowest one)**: 67.1 meV per atom
**ΔH_f (0 K)**: 0.113 eV per atom
**DOS(E_F)**: 4.20 states/eV/cell

=====

No. 2
LaCo2GeMo: relaxed, GGA-PBE.

Geometry as POSCAR:
```
LaCo2GeMo
1.0
4.477 0.000 0.000
0.000 4.477 0.000
0.000 0.000 5.467
La Co Ge Mo
1 2 1 1
direct
0.000 0.000 0.000 La
0.000 0.500 0.000 Co
0.500 0.000 0.000 Co
0.000 0.000 0.500 Ge
0.500 0.500 0.500 Mo
```

**V**: 109.6 Å³/cell
**Crystal system**: tetragonal
**ΔH_f (0 K)**: 1.774 eV per atom
**DOS(E_F)**: 6.10 states/eV/cell

=====

No. 3
NiSn2Bi: relaxed, GGA-PBE.

Geometry as POSCAR:
```
NiSn2Bi
1.0
1.724 0.996 9.799
-1.724 0.996 9.799
0.000 -1.991 9.799
Ni Sn Bi
1 2 1
direct
0.000 0.000 0.000 Ni
0.391 0.391 0.391 Sn
0.609 0.609 0.609 Sn
0.500 0.500 0.500 Bi
```

**V**: 100.9 Å³/cell
**Crystal system**: trigonal
**ΔH_f (0 K)**: 0.009 eV per atom
**DOS(E_F)**: 2.51 states/eV/cell

=====

No. 4
Sc4CuSe: relaxed, GGA-PBE.

Geometry as POSCAR:
```
Sc4CuSe
1.0
0.000 4.061 4.061
4.061 0.000 4.061
4.061 4.061 0.000
Sc Cu Se
4 1 1
direct
0.125 0.125 0.125 Sc
0.125 0.125 0.624 Sc
0.125 0.624 0.125 Sc
0.624 0.125 0.125 Sc
0.500 0.500 0.500 Cu
0.750 0.750 0.750 Se
```

**V**: 133.9 Å³/cell
**Crystal system**: cubic
**Uncorrected formation energy**: 322 meV per atom
**DOS(E_F)**: 9.05 states/eV/cell

=====

No. 5
CaPdSe: relaxed, GGA-PBE.

Geometry as POSCAR:
```
CaPdSe
1.0
4.068 -2.316 0.000
4.068 2.316 0.000
-1.370 0.000 7.602
Ca Pd Se
2 2 2
direct
0.000 0.000 0.000 Ca
0.232 0.232 0.573 Ca
0.377 0.377 0.255 Pd
0.691 0.691 0.116 Pd
0.597 0.597 0.787 Se
0.885 0.885 0.395 Se
```

**V**: 143.3 Å³/cell
**Crystal system**: monoclinic
**Uncorrected formation energy**: -1116 meV per atom
**Polymorph energy (0 for the lowest one)**: 47.0 meV per atom
**DOS(E_F)**: 0.00 states/eV/cell

=====

No. 6
Gd3TiO: relaxed, GGA-PBE.

Geometry as POSCAR:
```
Gd3TiO
1.0
4.838 0.000 0.000
0.000 4.838 0.000
0.000 0.000 4.838
Gd Ti O
3 1 1
direct
0.000 0.000 0.500 Gd
0.000 0.500 0.000 Gd
0.500 0.000 0.000 Gd
0.500 0.500 0.500 Ti
0.000 0.000 0.000 O
```

**V**: 113.2 Å³/cell
**Crystal system**: cubic
**Uncorrected formation energy**: -1006 meV per atom
**DOS(E_F)**: 6.28 states/eV/cell

=====

No. 7
SrNiW2: relaxed, GGA-PBE.

Geometry as POSCAR:
```
SrNiW2
1.0
2.686 -5.324 0.000
2.686 5.324 0.000
-1.030 0.000 2.568
Sr Ni W
1 1 2
direct
0.000 0.000 0.000 Sr
0.500 0.500 0.000 Ni
0.000 0.500 0.500 W
0.500 0.000 0.500 W
```

**V**: 73.4 Å³/cell
**Crystal system**: monoclinic
**Polymorph energy (0 for the lowest one)**: 450.4 meV per atom
**ΔH_f (0 K)**: 1.020 eV per atom
**DOS(E_F)**: 3.89 states/eV/cell

=====

No. 8
BaTaBr2: relaxed, GGA-PBE.

Geometry as POSCAR:
```
BaTaBr2
1.0
5.375 0.000 0.000
0.000 5.375 0.000
0.000 0.000 3.686
Ba Ta Br
1 1 2
direct
0.000 0.000 0.000 Ba
0.500 0.500 0.000 Ta
0.000 0.500 0.500 Br
0.500 0.000 0.500 Br
```

**V**: 106.5 Å³/cell
**Crystal system**: tetragonal
**Uncorrected formation energy**: 70 meV per atom
**Polymorph energy (0 for the lowest one)**: 296.8 meV per atom
**DOS(E_F)**: 3.25 states/eV/cell

=====

No. 9
PrDyHo5Th2: relaxed, GGA-PBE.

Geometry as POSCAR:
```
PrDyHo5Th2
1.0
-4.371 4.371 7.754
4.371 -4.371 7.754
4.371 4.371 -7.754
Pr Dy Ho Th
2 2 10 4
direct
0.250 0.750 0.500 Pr
0.750 0.250 0.500 Pr
0.250 0.250 0.000 Dy
0.750 0.750 0.000 Dy
0.000 0.000 0.000 Ho
0.069 0.569 0.916 Ho
0.153 0.069 0.500 Ho
0.347 0.847 0.916 Ho
0.431 0.347 0.500 Ho
0.500 0.500 0.000 Ho
0.569 0.653 0.500 Ho
0.653 0.153 0.084 Ho
0.847 0.931 0.500 Ho
0.931 0.431 0.084 Ho
0.119 0.381 0.500 Th
0.381 0.881 0.261 Th
0.619 0.119 0.739 Th
0.881 0.619 0.500 Th
```

**V**: 592.7 Å³/cell
**Crystal system**: tetragonal
**ΔH_f (0 K)**: 0.330 eV per atom
**DOS(E_F)**: 24.23 states/eV/cell

=====

No. 10
TmSc2Be: relaxed, GGA-PBE.

Geometry as POSCAR:
```
TmSc2Be
1.0
3.245 0.000 0.000
0.000 3.245 0.000
0.000 0.000 8.221
Tm Sc Be
1 2 1
direct
0.000 0.000 0.000 Tm
0.500 0.500 0.313 Sc
0.500 0.500 0.687 Sc
0.000 0.000 0.500 Be
```

**V**: 86.6 Å³/cell
**Crystal system**: tetragonal
**Polymorph energy (0 for the lowest one)**: 0.0 meV per atom
**ΔH_f (0 K)**: 0.028 eV per atom
**DOS(E_F)**: 4.17 states/eV/cell

=====

No. 11
Tb2SnB2Ru5: relaxed, GGA-PBE.

Geometry as POSCAR:
```
Tb2SnB2Ru5
1.0
9.763 0.000 0.000
0.000 9.763 0.000
0.000 0.000 3.150
Tb Sn B Ru
4 2 4 10
direct
0.177 0.323 0.000 Tb
0.323 0.823 0.000 Tb
0.677 0.177 0.000 Tb
0.823 0.677 0.000 Tb
0.000 0.000 0.000 Sn
0.500 0.500 0.000 Sn
0.121 0.621 0.000 B
0.379 0.121 0.000 B
0.621 0.879 0.000 B
0.879 0.379 0.000 B
0.000 0.500 0.500 Ru
0.069 0.775 0.500 Ru
0.225 0.069 0.500 Ru
0.275 0.569 0.500 Ru
0.431 0.275 0.500 Ru
0.500 0.000 0.500 Ru
0.569 0.725 0.500 Ru
0.725 0.431 0.500 Ru
0.775 0.931 0.500 Ru
0.931 0.225 0.500 Ru
```

**V**: 300.2 Å³/cell
**Crystal system**: tetragonal
**ΔH_f (0 K)**: -0.459 eV per atom
**DOS(E_F)**: 18.48 states/eV/cell

=====

No. 12
SmCdInHg: relaxed, GGA-PBE.

Geometry as POSCAR:
```
SmCdInHg
1.0
0.000 3.687 3.687
3.687 0.000 3.687
3.687 3.687 0.000
Sm Cd In Hg
1 1 1 1
direct
0.000 0.000 0.000 Sm
0.500 0.500 0.500 Cd
0.750 0.750 0.750 In
0.250 0.250 0.250 Hg
```

**V**: 100.2 Å³/cell
**Crystal system**: cubic
**Polymorph energy (0 for the lowest one)**: 32.9 meV per atom
**ΔH_f (0 K)**: -0.334 eV per atom
**DOS(E_F)**: 0.67 states/eV/cell

=====

No. 13
U4As6Rh5: relaxed, GGA-PBE.

Geometry as POSCAR:
```
U4As6Rh5
1.0
2.027 -9.522 0.000
2.027 9.522 0.000
0.000 0.000 14.805
U As Rh
8 12 10
direct
0.014 0.986 0.500 U
0.032 0.968 0.775 U
0.166 0.834 0.305 U
0.182 0.818 0.944 U
0.818 0.182 0.444 U
0.834 0.166 0.805 U
0.968 0.032 0.275 U
0.986 0.014 0.000 U
0.115 0.885 0.118 As
0.220 0.780 0.492 As
0.232 0.768 0.761 As
0.419 0.581 0.423 As
0.425 0.575 0.132 As
0.433 0.567 0.857 As
0.567 0.433 0.357 As
0.575 0.425 0.632 As
0.581 0.419 0.923 As
0.768 0.232 0.261 As
0.780 0.220 0.992 As
0.885 0.115 0.618 As
0.148 0.852 0.632 Rh
0.304 0.696 0.622 Rh
0.352 0.648 0.277 Rh
0.356 0.644 0.989 Rh
0.451 0.549 0.684 Rh
0.549 0.451 0.184 Rh
0.644 0.356 0.489 Rh
0.648 0.352 0.777 Rh
0.696 0.304 0.122 Rh
0.852 0.148 0.132 Rh
```

**V**: 571.5 Å³/cell
**Crystal system**: orthorhombic
**ΔH_f (0 K)**: -0.620 eV per atom
**DOS(E_F)**: 51.42 states/eV/cell

=====

No. 14
Ti2NbSnC: relaxed, GGA-PBE.

Geometry as POSCAR:
```
Ti2NbSnC
1.0
4.209 0.000 0.000
0.000 4.209 0.000
0.000 0.000 4.451
Ti Nb Sn C
2 1 1 1
direct
0.000 0.500 0.000 Ti
0.500 0.000 0.000 Ti
0.000 0.000 0.500 Nb
0.500 0.500 0.500 Sn
0.000 0.000 0.000 C
```

**V**: 78.9 Å³/cell
**Crystal system**: tetragonal
**ΔH_f (0 K)**: -0.426 eV per atom
**DOS(E_F)**: 5.97 states/eV/cell

=====

No. 15
In3Se2: relaxed, GGA-PBE.

Geometry as POSCAR:
```
In3Se2
1.0
0.000 6.766 3.205
6.210 0.000 3.205
6.210 6.766 0.000
In Se
6 4
direct
0.000 0.000 0.000 In
0.250 0.250 0.250 In
0.341 0.722 0.377 In
0.691 0.873 0.528 In
0.722 0.341 0.559 In
0.873 0.691 0.909 In
0.271 0.456 0.839 Se
0.411 0.816 0.979 Se
0.456 0.271 0.434 Se
0.816 0.411 0.794 Se
```

**V**: 269.4 Å³/cell
**Crystal system**: orthorhombic
**Uncorrected formation energy**: -318 meV per atom
**Polymorph energy (0 for the lowest one)**: 62.7 meV per atom
**DOS(E_F)**: 2.04 states/eV/cell

=====

No. 16
La2VZn2: relaxed, GGA-PBE.

Geometry as POSCAR:
```
La2VZn2
1.0
-2.244 2.244 6.526
2.244 -2.244 6.526
2.244 2.244 -6.526
La V Zn
2 1 2
direct
0.250 0.750 0.500 La
0.750 0.250 0.500 La
0.000 0.000 0.000 V
0.411 0.411 0.000 Zn
0.589 0.589 0.000 Zn
```

**V**: 131.4 Å³/cell
**Crystal system**: tetragonal
**Polymorph energy (0 for the lowest one)**: 451.8 meV per atom
**ΔH_f (0 K)**: 0.518 eV per atom
**DOS(E_F)**: 5.59 states/eV/cell

=====

No. 17
Nd3Zn4Ni2: relaxed, GGA-PBE.

Geometry as POSCAR:
```
Nd3Zn4Ni2
1.0
5.419 -2.182 0.000
5.419 2.182 0.000
-3.054 0.000 7.866
Nd Zn Ni
3 4 2
direct
0.000 0.000 0.000 Nd
0.323 0.323 0.349 Nd
0.677 0.677 0.651 Nd
0.042 0.042 0.373 Zn
0.281 0.281 0.942 Zn
0.719 0.719 0.058 Zn
0.958 0.958 0.627 Zn
0.398 0.398 0.730 Ni
0.602 0.602 0.270 Ni
```

**V**: 186.0 Å³/cell
**Crystal system**: monoclinic
**Polymorph energy (0 for the lowest one)**: 0.0 meV per atom
**ΔH_f (0 K)**: -0.343 eV per atom
**DOS(E_F)**: 6.16 states/eV/cell

=====

No. 18
Nd2ErPd: relaxed, GGA-PBE.

Geometry as POSCAR:
```
Nd2ErPd
1.0
1.834 1.059 10.809
-1.834 1.059 10.809
0.000 -2.118 10.809
Nd Er Pd
2 1 1
direct
0.105 0.105 0.105 Nd
0.895 0.895 0.895 Nd
0.000 0.000 0.000 Er
0.500 0.500 0.500 Pd
```

**V**: 125.9 Å³/cell
**Crystal system**: trigonal
**Polymorph energy (0 for the lowest one)**: 364.8 meV per atom
**ΔH_f (0 K)**: -0.025 eV per atom
**DOS(E_F)**: 5.10 states/eV/cell

=====

No. 19
LiAc2As3Pt12: relaxed, GGA-PBE.

Geometry as POSCAR:
```
LiAc2As3Pt12
1.0
4.214 2.433 6.178
-4.214 2.433 6.178
0.000 -4.866 6.178
Li Ac As Pt
1 2 3 12
direct
0.000 0.000 0.000 Li
0.375 0.375 0.375 Ac
0.625 0.625 0.625 Ac
0.000 0.000 0.500 As
0.000 0.500 0.000 As
0.500 0.000 0.000 As
0.118 0.644 0.644 Pt
0.119 0.119 0.646 Pt
0.119 0.646 0.119 Pt
0.354 0.881 0.881 Pt
0.356 0.356 0.882 Pt
0.356 0.882 0.356 Pt
0.644 0.118 0.644 Pt
0.644 0.644 0.118 Pt
0.646 0.119 0.119 Pt
0.881 0.354 0.881 Pt
0.881 0.881 0.354 Pt
0.882 0.356 0.356 Pt
```

**V**: 380.0 Å³/cell
**Crystal system**: trigonal
**ΔH_f (0 K)**: -0.330 eV per atom
**DOS(E_F)**: 6.98 states/eV/cell

=====

No. 20
Sr2AgC: relaxed, GGA-PBE.

Geometry as POSCAR:
```
Sr2AgC
1.0
-3.832 3.832 4.193
3.832 -3.832 4.193
3.832 3.832 -4.193
Sr Ag C
4 2 2
direct
0.050 0.625 0.925 Sr
0.375 0.300 0.425 Sr
0.700 0.125 0.075 Sr
0.875 0.950 0.575 Sr
0.250 0.750 0.500 Ag
0.500 0.500 0.000 Ag
0.000 0.000 0.000 C
0.750 0.250 0.500 C
```

**V**: 246.3 Å³/cell
**Crystal system**: tetragonal
**ΔH_f (0 K)**: 0.574 eV per atom
**DOS(E_F)**: 4.66 states/eV/cell

=====

No. 21
HfBeNi3: relaxed, GGA-PBE.

Geometry as POSCAR:
```
HfBeNi3
1.0
3.973 0.000 0.000
0.000 3.973 0.000
0.000 0.000 3.973
Hf Be Ni
1 1 3
direct
0.000 0.000 0.000 Hf
0.500 0.500 0.500 Be
0.000 0.500 0.500 Ni
0.500 0.000 0.500 Ni
0.500 0.500 0.000 Ni
```

**V**: 62.7 Å³/cell
**Crystal system**: cubic
**Polymorph energy (0 for the lowest one)**: 0.0 meV per atom
**ΔH_f (0 K)**: -0.179 eV per atom
**DOS(E_F)**: 4.58 states/eV/cell

=====

No. 22
CaEr2NpO6: relaxed, GGA-PBE.

Geometry as POSCAR:
```
CaEr2NpO6
1.0
2.914 1.682 5.063
-2.914 1.682 5.063
0.000 -3.365 5.063
Ca Er Np O
1 2 1 6
direct
0.000 0.000 0.000 Ca
0.279 0.279 0.279 Er
0.783 0.783 0.783 Er
0.492 0.492 0.492 Np
0.097 0.661 0.411 O
0.183 0.581 0.890 O
0.411 0.097 0.661 O
0.581 0.890 0.183 O
0.661 0.411 0.097 O
0.890 0.183 0.581 O
```

**V**: 148.9 Å³/cell
**Crystal system**: trigonal
**Uncorrected formation energy**: -3262 meV per atom
**DOS(E_F)**: 11.75 states/eV/cell

=====

No. 23
Na4Er3InSe8: relaxed, GGA-PBE.

Geometry as POSCAR:
```
Na4Er3InSe8
1.0
4.094 2.364 7.028
-4.094 2.364 7.028
0.000 -4.728 7.028
Na Er In Se
4 3 1 8
direct
0.000 0.000 0.000 Na
0.000 0.500 0.500 Na
0.500 0.000 0.500 Na
0.500 0.500 0.000 Na
0.000 0.000 0.500 Er
0.000 0.500 0.000 Er
0.500 0.000 0.000 Er
0.500 0.500 0.500 In
0.242 0.242 0.242 Se
0.246 0.741 0.741 Se
0.259 0.259 0.754 Se
0.259 0.754 0.259 Se
0.741 0.246 0.741 Se
0.741 0.741 0.246 Se
0.754 0.259 0.259 Se
0.758 0.758 0.758 Se
```

**V**: 408.1 Å³/cell
**Crystal system**: trigonal
**Uncorrected formation energy**: -1463 meV per atom

=====

No. 24
HoAlCd: relaxed, GGA-PBE.

Geometry as POSCAR:
```
HoAlCd
1.0
-1.669 1.669 6.059
1.669 -1.669 6.059
1.669 1.669 -6.059
Ho Al Cd
1 1 1
direct
0.000 0.000 0.000 Ho
0.664 0.664 0.000 Al
0.311 0.311 0.000 Cd
```

**V**: 67.5 Å³/cell
**Crystal system**: tetragonal
**ΔH_f (0 K)**: -0.198 eV per atom
**DOS(E_F)**: 1.93 states/eV/cell